# 1
Crystalline La2CoHg at its relaxed geometry, computed with PBE-GGA.

a = 3.7637 Å, b = 3.6486 Å, c = 7.6213 Å
α = 90.00°, β = 99.00°, γ = 90.00°
Sites, in units of the cell vectors:
La  0.0911  0.0000  0.2889
La  0.9089  0.0000  0.7111
Co  0.5000  0.5000  0.5000
Hg  0.5000  0.5000  0.0000

energy of formation from the pure elements = -0.24 eV/atom
magnetization = 0.000 μB/f.u.

# 2
Crystalline PaCo2As2Ru at its relaxed geometry, computed with PBE-GGA.

a = 4.1060 Å, b = 4.1060 Å, c = 6.2514 Å
α = 90.00°, β = 90.00°, γ = 120.00°
Sites, in units of the cell vectors:
Pa  0.0000  0.0000  0.0000
Co  0.3333  0.6667  0.7167
Co  0.6667  0.3333  0.2833
As  0.3333  0.6667  0.3036
As  0.6667  0.3333  0.6964
Ru  0.0000  0.0000  0.5000

energy of formation from the pure elements = -0.47 eV/atom
magnetization = 0.000 μB/f.u.

# 3
Crystalline NpTlCuO5 at its relaxed geometry, computed with PBE-GGA.

a = 6.5990 Å, b = 6.5990 Å, c = 6.6654 Å
α = 107.46°, β = 107.46°, γ = 101.37°
Sites, in units of the cell vectors:
Np  0.0000  0.5000  0.0000
Np  0.5000  0.0000  0.5000
Tl  0.0878  0.9122  0.7500
Tl  0.9122  0.0878  0.2500
Cu  0.4488  0.5512  0.7500
Cu  0.5512  0.4488  0.2500
O  0.1703  0.8297  0.2500
O  0.1791  0.5455  0.8162
O  0.2294  0.3868  0.1633
O  0.3868  0.2294  0.6633
O  0.4545  0.8209  0.6838
O  0.5455  0.1791  0.3162
O  0.6132  0.7706  0.3367
O  0.7706  0.6132  0.8367
O  0.8209  0.4545  0.1838
O  0.8297  0.1703  0.7500

raw formation energy = -159 kJ per mole of atoms
magnetization = 0.879 μB/f.u.

# 4
Crystalline BaMnTc2H at its relaxed geometry, computed with PBE-GGA.

a = 3.8712 Å, b = 3.8712 Å, c = 5.1942 Å
α = 90.00°, β = 90.00°, γ = 90.00°
Sites, in units of the cell vectors:
Ba  0.0000  0.0000  0.0000
Mn  0.5000  0.5000  0.0000
Tc  0.0000  0.5000  0.5000
Tc  0.5000  0.0000  0.5000
H  0.0000  0.0000  0.5000

total energy = -29.10 eV per formula unit
magnetization = 0.616 μB/f.u.